Entry 1:
An optimized crystal structure of RbTlGe. Source: Alexandria, functional PBE.

Its space group is Amm2. For the total energy, the calculation gives -16.083 eV/cell. For the energy of formation from the pure elements, the calculation gives -30 meV/atom. For the density of states at the Fermi level, the calculation gives 0.28 states/eV/atom.

Cell and atoms, written as POSCAR:
```
RbTlGe
1.0
3.9929 0.0000 0.0000
0.0000 7.9117 -3.5517
0.0000 7.9117 3.5517
Rb Ge Tl
2 2 2
direct
0.5000 0.9229 0.8047
0.5000 0.1953 0.0771
0.0000 0.7750 0.2250
0.5000 0.5272 0.4728
0.0000 0.6935 0.6049
0.0000 0.3951 0.3065
```

=====

Entry 2:
An optimized crystal structure of TiNi7Te2P2. Source: Alexandria, functional PBE.

Its space group is I4/mmm. For the total energy, the calculation gives -69.670 eV/cell. As for the formation energy without anion corrections: -405.5 kJ/mol of formula units. For the density of states at the Fermi level, the calculation gives 0.53 states/eV/atom.

Cell and atoms, written as POSCAR:
```
TiNi7Te2P2
1.0
3.6762 -0.0018 0.0120
0.0027 3.6762 0.0120
1.8043 1.8021 13.4059
Ni Te P Ti
7 2 2 1
direct
0.5669 0.0670 0.8667
0.4331 0.9330 0.1333
0.3034 0.3034 0.3920
0.5000 0.5000 0.0000
0.6966 0.6966 0.6080
0.0670 0.5669 0.8667
0.9330 0.4331 0.1333
0.2078 0.2078 0.5854
0.7922 0.7922 0.4146
0.6149 0.6149 0.7716
0.3851 0.3851 0.2284
0.0000 0.0000 0.0000
```